[1]
This record from the Alexandria database describes a relaxed structure of BaZn4Ga2. The functional is GGA-PBE.

The structure in POSCAR format:
```
BaZn4Ga2
1.0
4.401 0.000 0.000
0.000 4.439 0.000
0.000 -2.219 7.304
Zn Ba Ga
4 1 2
direct
0.000 0.305 0.611
0.500 0.810 0.620
0.500 0.190 0.380
0.000 0.695 0.389
0.000 0.000 0.000
0.500 0.595 0.191
0.500 0.405 0.809
```

## Properties
As for the space group: No. 65. Its density of states at the Fermi level is 1.9 states/eV/cell. The value obtained for the calculated formation energy is -149 kJ/mol of formula units.

[2]
This record from the Alexandria database describes a relaxed structure of LiErTiTc. The functional is GGA-PBE.

The structure in POSCAR format:
```
LiErTiTc
1.0
-3.319 -2.059 2.495
0.823 -4.086 2.026
0.393 -0.263 4.610
Tc Ti Er Li
1 1 1 1
direct
0.000 0.000 0.000
0.250 0.250 0.250
0.750 0.750 0.750
0.500 0.500 0.500
```

## Properties
As for the space group: No. 216. Its density of states at the Fermi level is 2.5 states/eV/cell. The value obtained for the calculated formation energy is -19 kJ/mol of formula units.

[3]
This record from the Alexandria database describes a relaxed structure of Ba3CaRh. The functional is GGA-PBE.

The structure in POSCAR format:
```
Ba3CaRh
1.0
6.188 0.000 0.000
0.000 6.188 0.000
0.000 0.000 6.188
Ba Rh Ca
3 1 1
direct
0.000 0.500 0.000
0.500 0.000 0.000
0.000 0.000 0.500
0.000 0.000 0.000
0.500 0.500 0.500
```

## Properties
As for the space group: No. 221. Its density of states at the Fermi level is 5.0 states/eV/cell. The value obtained for the calculated formation energy is -47 kJ/mol of formula units.

[4]
This record from the Alexandria database describes a relaxed structure of Pa4PS6. The functional is GGA-PBE.

The structure in POSCAR format:
```
Pa4PS6
1.0
-0.386 -0.153 3.770
-8.093 -1.977 -0.908
5.780 -6.058 0.345
Pa S P
4 6 1
direct
0.500 0.337 0.169
0.500 0.831 0.663
0.000 0.333 0.667
0.500 0.831 0.169
0.000 0.540 0.081
0.500 0.198 0.396
0.500 0.604 0.802
0.500 0.198 0.802
0.000 0.540 0.460
0.000 0.919 0.460
0.000 0.000 0.000
```

## Properties
As for the space group: No. 187. The value obtained for the energy is -7.7153 eV/atom. Its density of states at the Fermi level is 13.8 states/eV/cell.

[5]
This record from the Alexandria database describes a relaxed structure of Dy8TlAg2. The functional is GGA-PBE.

The structure in POSCAR format:
```
Dy8TlAg2
1.0
-3.052 -4.151 -0.883
6.576 -4.224 -2.873
-0.246 1.698 8.347
Dy Tl Ag
8 1 2
direct
0.066 0.724 0.132
0.934 0.276 0.868
0.685 0.963 0.371
0.600 0.461 0.199
0.400 0.539 0.801
0.147 0.203 0.293
0.315 0.037 0.629
0.853 0.797 0.707
0.500 0.000 0.000
0.781 0.382 0.563
0.219 0.618 0.437
```

## Properties
As for the space group: No. 12. Its density of states at the Fermi level is 11.7 states/eV/cell. The value obtained for the calculated formation energy is -161 kJ/mol of formula units.

[6]
This record from the Alexandria database describes a relaxed structure of Pm6TlSn2. The functional is GGA-PBE.

The structure in POSCAR format:
```
Pm6TlSn2
1.0
-3.542 -2.224 1.741
-2.317 -2.457 -7.851
5.313 -4.859 4.604
Sn Pm Tl
2 6 1
direct
0.000 0.667 0.333
0.000 0.333 0.667
0.500 0.000 0.590
0.500 0.410 0.410
0.500 0.590 0.000
0.000 0.000 0.260
0.000 0.740 0.740
0.000 0.260 0.000
0.500 0.000 0.000
```

## Properties
As for the space group: No. 189. Its density of states at the Fermi level is 7.9 states/eV/cell. The value obtained for the calculated formation energy is -405 kJ/mol of formula units.

[7]
This record from the Alexandria database describes a relaxed structure of ErScRe. The functional is GGA-PBE.

The structure in POSCAR format:
```
ErScRe
1.0
-0.004 5.475 2.570
-2.810 -0.695 -5.640
-7.066 -1.759 3.737
Sc Er Re
4 4 4
direct
0.677 0.854 0.750
0.323 0.146 0.250
0.177 0.854 0.750
0.823 0.146 0.250
0.179 0.358 0.587
0.321 0.642 0.087
0.821 0.642 0.413
0.679 0.358 0.913
0.588 0.175 0.587
0.088 0.175 0.913
0.912 0.825 0.087
0.412 0.825 0.413
```

## Properties
As for the space group: No. 64. Its density of states at the Fermi level is 6.7 states/eV/cell. The value obtained for the calculated formation energy is 26 kJ/mol of formula units.

[8]
This record from the Alexandria database describes a relaxed structure of Rb2Cu2SnBr6. The functional is GGA-PBE.

The structure in POSCAR format:
```
Rb2Cu2SnBr6
1.0
7.963 0.000 0.000
-3.982 6.800 -0.127
0.000 -4.045 7.114
Rb Sn Br Cu
2 1 6 2
direct
0.731 0.462 0.212
0.269 0.538 0.788
0.500 0.000 0.500
0.697 0.895 0.191
0.248 0.497 0.347
0.801 0.105 0.809
0.303 0.105 0.809
0.752 0.503 0.653
0.199 0.895 0.191
0.957 0.913 0.811
0.043 0.087 0.189
```

## Properties
As for the space group: No. 12. The value obtained for the energy is -3.1329 eV/atom.

[9]
This record from the Alexandria database describes a relaxed structure of Y2MnSi. The functional is GGA-PBE.

The structure in POSCAR format:
```
Y2MnSi
1.0
-5.752 6.559 1.622
-7.663 4.436 -0.569
-7.501 3.708 2.953
Mn Si Y
1 1 2
direct
0.250 0.250 0.250
0.750 0.750 0.750
0.494 0.494 0.494
0.006 0.006 0.006
```

## Properties
As for the space group: No. 166. The value obtained for the energy is -6.7917 eV/atom. Its density of states at the Fermi level is 4.0 states/eV/cell.

[10]
This record from the Alexandria database describes a relaxed structure of AcHo2Cd2In2. The functional is GGA-PBE.

The structure in POSCAR format:
```
AcHo2Cd2In2
1.0
-1.785 0.890 -4.608
2.927 -0.739 -4.012
-2.567 -8.674 -3.416
Cd Ac Ho In
2 1 2 2
direct
0.431 0.431 0.708
0.569 0.569 0.292
0.000 0.000 0.000
0.865 0.865 0.404
0.135 0.135 0.596
0.258 0.258 0.226
0.742 0.742 0.774
```

## Properties
As for the space group: No. 166. Its density of states at the Fermi level is 4.1 states/eV/cell. The value obtained for the calculated formation energy is -191 kJ/mol of formula units.